(1)
Compound: Sr2Ga6CoPd
Source: Alexandria via LeMat-Bulk
Functional: PBE-GGA
Structure: optimized geometry

Cell lengths 6.7432, 6.7432, 9.5219 Å; angles 90.00, 90.00, 90.00 degrees
Closest atoms and distances in Å follow each position.
Space group I4/mmm (No. 139)
Symmetry-distinct sites (fractional):
Sr1 0.0000 0.5000 0.2500 (multiplicity 4)  12 Ga 3.37
Ga1 0.0000 0.0000 0.2412 (multiplicity 4)  1 Co 2.30, 1 Pd 2.46
Ga2 0.2411 0.2411 0.0000 (multiplicity 8)  1 Co 2.30, 1 Pd 2.47
Co1 0.0000 0.0000 0.0000 (multiplicity 2)  6 Ga 2.30
Pd1 0.0000 0.0000 0.5000 (multiplicity 2)  6 Ga 2.46-2.47

- DOS at the Fermi energy (states/eV per cell) = 8.8
- calculated formation energy (kcal/mol of atoms) = -7.94



(2)
Compound: TaGaCoPd
Source: Alexandria via LeMat-Bulk
Functional: PBE-GGA
Structure: optimized geometry

Cell lengths 6.1659, 6.1659, 6.1659 Å; angles 90.00, 90.00, 90.00 degrees
Closest atoms and distances in Å follow each position.
Space group F-43m (No. 216)
Symmetry-distinct sites (fractional):
Ta1 0.0000 0.0000 0.0000 (multiplicity 4)  4 Pd 2.67, 4 Co 2.67
Ga1 0.0000 0.0000 0.5000 (multiplicity 4)  4 Co 2.67, 4 Pd 2.67
Co1 0.2500 0.2500 0.2500 (multiplicity 4)  4 Ta 2.67, 4 Ga 2.67
Pd1 0.2500 0.2500 0.7500 (multiplicity 4)  4 Ta 2.67, 4 Ga 2.67

- DOS at the Fermi energy (states/eV per cell) = 13.5
- calculated formation energy (kcal/mol of atoms) = -5.92



(3)
Compound: TbGa3CoPd
Source: Alexandria via LeMat-Bulk
Functional: PBE-GGA
Structure: optimized geometry

Cell lengths 7.7865, 10.5320, 5.7349 Å; angles 90.00, 90.00, 90.00 degrees
Closest atoms and distances in Å follow each position.
Space group Cmcm (No. 63)
Symmetry-distinct sites (fractional):
Tb1 0.0000 0.2469 0.2500 (multiplicity 4)  1 Co 2.80, 2 Ga 2.87, 1 Pd 3.09
Ga1 0.0000 0.2315 0.7500 (multiplicity 4)  1 Co 2.23, 1 Pd 2.40
Ga2 0.2389 0.0000 0.0000 (multiplicity 8)  2 Co 2.36, 2 Pd 2.52
Co1 0.0000 0.0193 0.7500 (multiplicity 4)  5 Ga 2.23-2.36
Pd1 0.0000 0.4596 0.7500 (multiplicity 4)  5 Ga 2.40-2.52

- DOS at the Fermi energy (states/eV per cell) = 13.1
- calculated formation energy (kcal/mol of atoms) = -7.53